Here is a relaxed structure of SrPuCoO6 from the Alexandria database. Energies are from PBE+U.

POSCAR file:
```
SrPuCoO6
1.0
5.1573 0.0000 0.0000
-2.5787 4.4664 0.0000
0.0000 0.0000 11.1333
Sr Pu Co O
2 2 2 12
Direct
0.0000 0.0000 0.0000 Sr
0.0000 0.0000 0.5000 Sr
0.3333 0.6667 0.2500 Pu
0.6667 0.3333 0.7500 Pu
0.3333 0.6667 0.7500 Co
0.6667 0.3333 0.2500 Co
0.0125 0.3725 0.6508 O
0.0125 0.6400 0.8492 O
0.3600 0.3725 0.8492 O
0.3600 0.9875 0.6508 O
0.3725 0.0125 0.1508 O
0.3725 0.3600 0.3492 O
0.6275 0.6400 0.6508 O
0.6275 0.9875 0.8492 O
0.6400 0.0125 0.3492 O
0.6400 0.6275 0.1508 O
0.9875 0.3600 0.1508 O
0.9875 0.6275 0.3492 O
```

## Properties
Space group   P-31c
Electronic total energy   -140.0 eV for the cell shown